[1]
Material: La8Co3NCl3
Method: DFT, PBE-GGA
State: relaxed

Lattice parameters (Å, degrees): 8.1777 8.1777 8.7728 117.61 117.61 56.39
With the nearest neighbours (Å) after each atom.
Fractional positions:
1 La 0.2320 0.7530 0.6938  1 N 2.55, 1 Co 2.67
2 La 0.2362 0.2362 0.6971  2 Co 2.67, 1 N 2.90
3 La 0.2470 0.7680 0.3062  1 N 2.55, 1 Co 2.67
4 La 0.2562 0.2562 0.2961  2 Co 2.67
5 La 0.7438 0.7438 0.7039  2 Co 2.67
6 La 0.7530 0.2320 0.6938  1 N 2.55, 1 Co 2.67
7 La 0.7638 0.7638 0.3029  2 Co 2.67, 1 N 2.90
8 La 0.7680 0.2470 0.3062  1 N 2.55, 1 Co 2.67
9 Co 0.0000 0.5000 0.5000  6 La 2.67-2.98
10 Co 0.5000 0.0000 0.5000  6 La 2.67-2.98
11 Co 0.5000 0.5000 0.5000  6 La 2.67-2.99
12 N 0.0000 0.0000 0.5000  4 La 2.55
13 Cl 0.0000 0.0000 0.0000  6 La 3.21-3.22
14 Cl 0.0000 0.5000 0.0000  6 La 3.20-3.24
15 Cl 0.5000 0.0000 0.0000  6 La 3.20-3.24

Values from the calculation:
As for the density of states at the Fermi level: 0.4248 states/eV per atom. The value obtained for the formation energy without anion corrections is -863 meV per atom. Its symmetry is C2/m, No. 12. The total energy is -0.21450 Ha/atom. As for the crystal system: monoclinic.


[2]
Material: TbBi2Sb
Method: DFT, PBE-GGA
State: relaxed

Lattice parameters (Å, degrees): 5.7667 5.7667 5.7667 55.93 55.93 55.93
With the nearest neighbours (Å) after each atom.
Fractional positions:
1 Tb 0.0000 0.0000 0.0000  8 Bi 3.35-3.46
2 Bi 0.2307 0.2307 0.2307  3 Sb 3.26, 4 Tb 3.35-3.46, 3 Bi 3.64
3 Bi 0.7693 0.7693 0.7693  3 Sb 3.26, 4 Tb 3.35-3.46, 3 Bi 3.64
4 Sb 0.5000 0.5000 0.5000  6 Bi 3.26

Values from the calculation:
As for the density of states at the Fermi level: 0.4698 states/eV per atom. The value obtained for the formation energy without anion corrections is -136 meV per atom. Its symmetry is R-3m, No. 166. The total energy is -0.15671 Ha/atom. As for the crystal system: trigonal. For the offset from the most stable computed form, the calculation gives 234 meV/atom.


[3]
Material: Tb4ZnNi2
Method: DFT, PBE-GGA
State: relaxed

Lattice parameters (Å, degrees): 8.9891 8.9891 8.9891 30.63 30.63 30.63
With the nearest neighbours (Å) after each atom.
Fractional positions:
1 Tb 0.1178 0.1178 0.1178  3 Ni 2.98, 3 Zn 3.01
2 Tb 0.2948 0.2948 0.2948  4 Ni 2.84-2.87
3 Tb 0.7052 0.7052 0.7052  4 Ni 2.84-2.87
4 Tb 0.8822 0.8822 0.8822  3 Ni 2.98, 3 Zn 3.01
5 Zn 0.5000 0.5000 0.5000  2 Ni 2.43
6 Ni 0.4053 0.4053 0.4053  1 Zn 2.43
7 Ni 0.5947 0.5947 0.5947  1 Zn 2.43

Values from the calculation:
As for the density of states at the Fermi level: 0.8616 states/eV per atom. Its symmetry is R-3m, No. 166. The total energy is -0.17273 Ha/atom. As for the crystal system: trigonal.


[4]
Material: CsGe3Cl
Method: DFT, PBE-GGA
State: relaxed

Lattice parameters (Å, degrees): 5.3374 5.3374 5.3374 90.00 90.00 90.00
With the nearest neighbours (Å) after each atom.
Fractional positions:
1 Cs 0.0000 0.0000 0.0000  12 Ge 3.77
2 Ge 0.0000 0.5000 0.5000  2 Cl 2.67
3 Ge 0.5000 0.0000 0.5000  2 Cl 2.67
4 Ge 0.5000 0.5000 0.0000  2 Cl 2.67
5 Cl 0.5000 0.5000 0.5000  6 Ge 2.67

Values from the calculation:
As for the density of states at the Fermi level: 0.7873 states/eV per atom. The value obtained for the formation energy without anion corrections is 581 meV per atom. Its symmetry is Pm-3m, No. 221. The total energy is -0.10032 Ha/atom. As for the crystal system: cubic. For the offset from the most stable computed form, the calculation gives 0 meV/atom.